--- i ---
Entry from the Alexandria database: an optimized crystal structure of Pr7Ho2Sc2 (PBE).

Properties
D(E_F): 14.9 states/eV/f.u.
Symmetry: No. 12

abc: 6.146 8.018 8.018
angles: 92.88 75.59 75.59
Positions (direct):
Pr 0.000 0.000 0.000
Ho 0.584 0.788 0.788
Pr 0.808 0.420 0.945
Pr 0.795 0.424 0.424
Ho 0.416 0.212 0.212
Pr 0.205 0.576 0.576
Pr 0.192 0.580 0.055
Sc 0.500 0.778 0.222
Pr 0.192 0.055 0.580
Sc 0.500 0.222 0.778
Pr 0.808 0.945 0.420

--- ii ---
Entry from the Alexandria database: an optimized crystal structure of Pr7Ho2Sc2 (PBE).

Properties
D(E_F): 18.0 states/eV/f.u.
Symmetry: No. 65

abc: 6.704 10.139 6.704
angles: 90.00 121.99 90.00
Positions (direct):
Sc 0.747 0.500 0.747
Pr 0.500 0.209 0.500
Pr 0.500 0.683 0.000
Ho 0.286 0.000 0.714
Pr 0.500 0.791 0.500
Pr 0.500 0.317 0.000
Ho 0.714 0.000 0.286
Pr 0.000 0.000 0.000
Sc 0.253 0.500 0.253
Pr 0.000 0.683 0.500
Pr 0.000 0.317 0.500

Relative calculated energies, zero for the most stable structure, unit eV/atom: i 0.000; ii 0.203.

--- i ---
Entry from the Alexandria database: an optimized crystal structure of Pr8HoSc2 (PBE).

Properties
D(E_F): 18.3 states/eV/f.u.
Symmetry: No. 71

abc: 5.559 8.551 9.389
angles: 117.09 107.22 90.00
Positions (direct):
Sc 0.201 0.701 0.403
Pr 0.159 0.159 0.318
Sc 0.799 0.299 0.597
Pr 0.645 0.442 0.289
Pr 0.355 0.153 0.711
Pr 0.000 0.301 0.000
Pr 0.645 0.847 0.289
Ho 0.500 0.000 0.000
Pr 0.841 0.841 0.682
Pr 0.355 0.558 0.711
Pr 0.000 0.699 0.000

--- ii ---
Entry from the Alexandria database: an optimized crystal structure of Pr8HoSc2 (PBE).

Properties
D(E_F): 14.6 states/eV/f.u.
Symmetry: No. 12

abc: 5.937 9.099 9.320
angles: 60.78 75.23 58.51
Positions (direct):
Ho 0.500 0.000 0.000
Pr 0.500 0.791 0.417
Sc 0.000 0.690 0.619
Pr 0.500 0.209 0.583
Pr 0.830 0.096 0.239
Pr 0.170 0.904 0.761
Pr 0.295 0.418 0.000
Pr 0.705 0.582 0.000
Pr 0.830 0.335 0.761
Sc 0.000 0.310 0.381
Pr 0.170 0.665 0.239

Relative calculated energies, zero for the most stable structure, unit eV/atom: i 0.000; ii 0.034.